No. 1
Computed, not measured: a relaxed Na2LiIrCl6 crystal at the PBE level of DFT.

Structure (POSCAR):
```
Na2LiIrCl6
1.0
3.2652 1.8852 6.6980
-3.2652 1.8852 6.6980
0.0000 -3.7704 6.6980
Na Li Ir Cl
2 1 1 6
Direct
0.0000 0.0000 0.0000
0.4937 0.4937 0.4937
0.3232 0.3232 0.3232
0.6671 0.6671 0.6671
0.0429 0.4430 0.7171
0.3090 0.8969 0.5856
0.4430 0.7171 0.0429
0.5856 0.3090 0.8969
0.7171 0.0429 0.4430
0.8969 0.5856 0.3090
```

Output
Electronic total energy: -3.714 eV per atom
Formation energy (no corrections): -1.26 eV/atom

No. 2
Computed, not measured: a relaxed LiP2IrCl crystal at the PBE level of DFT.

Structure (POSCAR):
```
LiP2IrCl
1.0
4.3821 0.0000 0.0000
0.0000 4.3821 0.0000
0.0000 0.0000 9.5018
Li P Ir Cl
1 2 1 1
Direct
0.0000 0.0000 0.0000
0.0000 0.5000 0.5000
0.5000 0.0000 0.5000
0.5000 0.5000 0.5000
0.5000 0.5000 0.0000
```

Output
Distance to the lowest polymorph of the same formula: 0.0 meV/atom
Electronic total energy: -4.724 eV per atom
Formation energy (no corrections): -0.04 eV/atom

No. 3
Computed, not measured: a relaxed LiPIrCl2 crystal at the PBE level of DFT.

Structure (POSCAR):
```
LiPIrCl2
1.0
3.9024 0.0000 0.0000
0.0000 3.9024 0.0000
0.0000 0.0000 8.5922
Li P Ir Cl
1 1 1 2
Direct
0.0000 0.0000 0.0000
0.0000 0.0000 0.5000
0.5000 0.5000 0.5000
0.0000 0.5000 0.0000
0.5000 0.0000 0.0000
```

Output
Distance to the lowest polymorph of the same formula: 856.5 meV/atom
Electronic total energy: -3.317 eV per atom
Formation energy (no corrections): 0.66 eV/atom

No. 4
Computed, not measured: a relaxed LiPIrCl2 crystal at the PBE level of DFT.

Structure (POSCAR):
```
LiPIrCl2
1.0
5.1982 0.0000 0.0000
0.0000 5.1982 0.0000
0.0000 0.0000 4.3885
Li P Ir Cl
1 1 1 2
Direct
0.0000 0.0000 0.0000
0.5000 0.5000 0.0000
0.5000 0.5000 0.5000
0.0000 0.5000 0.5000
0.5000 0.0000 0.5000
```

Output
Distance to the lowest polymorph of the same formula: 0.0 meV/atom
Electronic total energy: -4.174 eV per atom
Formation energy (no corrections): -0.20 eV/atom